[1]
A plane-wave DFT calculation with PBE was carried out for crystalline Er5ScIn4 at its relaxed geometry.

The structure in POSCAR format:
```
Er5ScIn4
1.0
-2.2631 1.9434 -2.1929
-0.3955 -2.9481 -2.2045
-15.0888 -5.7861 10.4441
In Er Sc
4 5 1
Direct
0.0000 0.0000 0.7975 In
0.0000 0.0000 0.4013 In
0.0000 0.0000 0.2025 In
0.0000 0.0000 0.5987 In
0.5000 0.5000 0.6972 Er
0.5000 0.5000 0.5000 Er
0.5000 0.5000 0.8963 Er
0.5000 0.5000 0.1037 Er
0.5000 0.5000 0.3028 Er
0.0000 0.0000 0.0000 Sc
```

Values from the calculation:
DFT total energy in eV/atom: -4.367

[2]
A plane-wave DFT calculation with PBE was carried out for crystalline ErSc3In4 at its relaxed geometry.

The structure in POSCAR format:
```
ErSc3In4
1.0
-0.0999 -2.9529 -4.4628
6.6286 -1.0957 0.5767
-1.8904 -8.4660 5.6440
Sc In Er
6 8 2
Direct
0.6154 0.0000 0.7500 Sc
0.0000 0.0000 0.0000 Sc
0.3846 0.0000 0.2500 Sc
0.0000 0.0000 0.5000 Sc
0.3994 0.5000 0.2500 Sc
0.6006 0.5000 0.7500 Sc
0.5000 0.7581 0.0000 In
0.5000 0.2419 0.5000 In
0.8853 0.7577 0.2500 In
0.5000 0.2419 0.0000 In
0.5000 0.7581 0.5000 In
0.8853 0.2423 0.2500 In
0.1147 0.2423 0.7500 In
0.1147 0.7577 0.7500 In
0.0000 0.5000 0.5000 Er
0.0000 0.5000 0.0000 Er
```

Values from the calculation:
DFT total energy in eV/atom: -4.733

[3]
A plane-wave DFT calculation with PBE was carried out for crystalline Er2ScIn at its relaxed geometry.

The structure in POSCAR format:
```
Er2ScIn
1.0
-3.3001 -1.2369 -0.2530
0.1362 -1.0528 3.3701
-3.0811 7.7034 2.5310
Er Sc In
2 1 1
Direct
0.0000 0.0000 0.2410 Er
0.0000 0.0000 0.7590 Er
0.5000 0.5000 0.5000 Sc
0.5000 0.5000 0.0000 In
```

Values from the calculation:
DFT total energy in eV/atom: -4.774
E above lowest polymorph in meV/atom: 32.1

[4]
A plane-wave DFT calculation with PBE was carried out for crystalline Er5Sc3In at its relaxed geometry.

The structure in POSCAR format:
```
Er5Sc3In
1.0
-0.8739 3.8475 6.9110
5.3795 -4.8001 3.3686
9.8686 4.9567 5.3210
Er Sc In
10 6 2
Direct
0.6695 0.6695 0.0813 Er
0.3305 0.3305 0.9187 Er
0.2831 0.7941 0.3255 Er
0.6823 0.6823 0.5791 Er
0.7422 0.2578 0.0000 Er
0.7169 0.2059 0.6745 Er
0.2578 0.7422 0.0000 Er
0.3177 0.3177 0.4209 Er
0.7941 0.2831 0.3255 Er
0.2059 0.7169 0.6745 Er
0.0000 0.0000 0.5000 Sc
0.3180 0.3180 0.1725 Sc
0.6681 0.6681 0.3386 Sc
0.6820 0.6820 0.8275 Sc
0.0000 0.0000 0.0000 Sc
0.3319 0.3319 0.6614 Sc
0.9941 0.9941 0.2413 In
0.0059 0.0059 0.7587 In
```

Values from the calculation:
DFT total energy in eV/atom: -4.604

[5]
A plane-wave DFT calculation with PBE was carried out for crystalline Er5Sc12In2 at its relaxed geometry.

The structure in POSCAR format:
```
Er5Sc12In2
1.0
8.5811 0.0000 0.0000
-4.2905 7.2935 1.2262
0.0000 -1.4213 7.6940
Sc In Er
12 2 5
Direct
0.5699 0.7492 0.3384 Sc
0.3342 0.3007 0.2406 Sc
0.6658 0.6993 0.7594 Sc
0.4494 0.8989 0.6696 Sc
0.1793 0.7492 0.3384 Sc
0.4301 0.2508 0.6616 Sc
0.8207 0.2508 0.6616 Sc
0.9664 0.3007 0.2406 Sc
0.5506 0.1011 0.3304 Sc
0.0869 0.1738 0.8924 Sc
0.9131 0.8262 0.1076 Sc
0.0336 0.6993 0.7594 Sc
0.3142 0.0000 0.0000 In
0.6858 0.0000 0.0000 In
0.6953 0.3905 0.0011 Er
0.3047 0.6095 0.9989 Er
0.2378 0.4755 0.5779 Er
0.0000 0.0000 0.5000 Er
0.7622 0.5245 0.4221 Er
```

Values from the calculation:
DFT total energy in eV/atom: -5.492

[6]
A plane-wave DFT calculation with PBE was carried out for crystalline Er3ScIn3Se8 at its relaxed geometry.

The structure in POSCAR format:
```
Er3ScIn3Se8
1.0
8.1217 0.0000 0.0000
-4.0608 7.0342 -0.0261
0.0000 -4.6617 7.4782
Se Er In Sc
8 3 3 1
Direct
0.2531 0.0215 0.2911 Se
0.7685 0.0215 0.2911 Se
0.2311 0.4621 0.7097 Se
0.7388 0.4777 0.7157 Se
0.7469 0.9785 0.7089 Se
0.2315 0.9785 0.7089 Se
0.7689 0.5379 0.2903 Se
0.2612 0.5223 0.2843 Se
0.0000 0.5000 0.5000 Er
0.5000 0.5000 0.5000 Er
0.5000 0.0000 0.5000 Er
0.5000 0.5000 0.0000 In
0.0000 0.5000 0.0000 In
0.0000 0.0000 0.0000 In
0.0000 0.0000 0.5000 Sc
```

Values from the calculation:
Formation energy from raw total energies in meV per atom: -1322
DFT total energy in eV/atom: -5.063

[7]
A plane-wave DFT calculation with PBE was carried out for crystalline Sm2ErScIn2 at its relaxed geometry.

The structure in POSCAR format:
```
Sm2ErScIn2
1.0
5.2972 0.0000 0.0000
0.0000 6.7295 0.0000
0.0000 0.0000 9.2920
In Sc Er Sm
4 2 2 4
Direct
0.0000 0.2599 0.8188 In
0.5000 0.2555 0.3504 In
0.0000 0.7599 0.1812 In
0.5000 0.7555 0.6496 In
0.5000 0.2511 0.6688 Sc
0.5000 0.7511 0.3312 Sc
0.0000 0.5061 0.5049 Er
0.0000 0.0061 0.4951 Er
0.5000 0.5084 0.9947 Sm
0.0000 0.2646 0.1648 Sm
0.0000 0.7646 0.8352 Sm
0.5000 0.0084 0.0053 Sm
```

Values from the calculation:
DFT total energy in eV/atom: -4.646

[8]
A plane-wave DFT calculation with PBE was carried out for crystalline Sm2ErSc2In5 at its relaxed geometry.

The structure in POSCAR format:
```
Sm2ErSc2In5
1.0
4.6546 0.0000 0.0000
0.0000 10.5877 0.0000
0.0000 0.0000 10.5877
In Sm Sc Er
10 4 4 2
Direct
0.5000 0.2016 0.0641 In
0.5000 0.7984 0.9359 In
0.5000 0.0641 0.7984 In
0.5000 0.5000 0.0000 In
0.5000 0.7016 0.4359 In
0.5000 0.5641 0.7016 In
0.5000 0.0000 0.5000 In
0.5000 0.2984 0.5641 In
0.5000 0.9359 0.2016 In
0.5000 0.4359 0.2984 In
0.0000 0.3213 0.8213 Sm
0.0000 0.8213 0.6787 Sm
0.0000 0.1787 0.3213 Sm
0.0000 0.6787 0.1787 Sm
0.0000 0.8810 0.3810 Sc
0.0000 0.6190 0.8810 Sc
0.0000 0.3810 0.1190 Sc
0.0000 0.1190 0.6190 Sc
0.0000 0.5000 0.5000 Er
0.0000 0.0000 0.0000 Er
```

Values from the calculation:
DFT total energy in eV/atom: -4.389